Entry 1:
Below is a relaxed structure of La2WSe, with properties calculated at the GGA-PBE level. Values from VASP.

Output
Offset from the most stable computed form in meV per atom: 311
Magnetization in μB/cell: 0.0
Theoretical density in g/cm³: 8.63
Total DFT energy (no corrections) in eV/atom: -6.5497
Formation energy without anion corrections in kJ/mol of atoms: 2.3

Geometry as Quantum ESPRESSO input:
```
&SYSTEM
  ibrav = 0, nat = 4, ntyp = 3
/
ATOMIC_SPECIES
La 138.91 La.upf
W 183.84 W.upf
Se 78.96 Se.upf
CELL_PARAMETERS angstrom
3.4332 0.0000 0.0000
0.0000 3.4332 0.0000
0.0000 0.0000 8.8241
ATOMIC_POSITIONS crystal
La 0.0000 0.0000 0.0000
La 0.5000 0.5000 0.3888
W 0.5000 0.5000 0.7573
Se 0.0000 0.0000 0.6311
```



Entry 2:
Below is a relaxed structure of Li2In, with properties calculated at the GGA-PBE level. Values from VASP.

Output
Magnetization in μB/cell: 0.0
Theoretical density in g/cm³: 2.86
Total DFT energy (no corrections) in eV/atom: -2.2744

Geometry as Quantum ESPRESSO input:
```
&SYSTEM
  ibrav = 0, nat = 3, ntyp = 2
/
ATOMIC_SPECIES
Li 6.94 Li.upf
In 114.82 In.upf
CELL_PARAMETERS angstrom
4.9495 0.0000 0.0000
0.0000 4.9495 0.0000
0.0000 0.0000 3.0453
ATOMIC_POSITIONS crystal
Li 0.0000 0.5000 0.0000
Li 0.5000 0.0000 0.0000
In 0.0000 0.0000 0.5000
```



Entry 3:
Below is a relaxed structure of La2BiTe, with properties calculated at the GGA-PBE level. Values from VASP.

Output
Offset from the most stable computed form in meV per atom: 90
Magnetization in μB/cell: 0.2
Theoretical density in g/cm³: 7.09
Total DFT energy (no corrections) in eV/atom: -5.4798
Formation energy without anion corrections in kJ/mol of atoms: -121.6

Geometry as Quantum ESPRESSO input:
```
&SYSTEM
  ibrav = 0, nat = 4, ntyp = 3
/
ATOMIC_SPECIES
La 138.91 La.upf
Bi 208.98 Bi.upf
Te 127.60 Te.upf
CELL_PARAMETERS angstrom
2.2702 1.3107 8.0592
-2.2702 1.3107 8.0592
0.0000 -2.6215 8.0592
ATOMIC_POSITIONS crystal
La 0.0000 0.0000 0.0000
La 0.1735 0.1735 0.1735
Bi 0.5879 0.5879 0.5879
Te 0.4189 0.4189 0.4189
```



Entry 4:
Below is a relaxed structure of Cs2Be2BiO6, with properties calculated at the GGA-PBE level. Values from VASP.

Output
Magnetization in μB/cell: 1.0
Theoretical density in g/cm³: 5.10
Total DFT energy (no corrections) in eV/atom: -5.4417
Formation energy without anion corrections in kJ/mol of atoms: -149.7

Geometry as Quantum ESPRESSO input:
```
&SYSTEM
  ibrav = 0, nat = 11, ntyp = 4
/
ATOMIC_SPECIES
Cs 132.91 Cs.upf
Be 9.01 Be.upf
Bi 208.98 Bi.upf
O 16.00 O.upf
CELL_PARAMETERS angstrom
2.8221 1.6294 6.9445
-2.8221 1.6294 6.9445
0.0000 -3.2587 6.9445
ATOMIC_POSITIONS crystal
Cs 0.2101 0.2101 0.2101
Cs 0.7899 0.7899 0.7899
Be 0.3872 0.3872 0.3872
Be 0.6128 0.6128 0.6128
Bi 0.0000 0.0000 0.0000
O 0.2368 0.2368 0.7106
O 0.2368 0.7106 0.2368
O 0.2894 0.7632 0.7632
O 0.7106 0.2368 0.2368
O 0.7632 0.2894 0.7632
O 0.7632 0.7632 0.2894
```



Entry 5:
Below is a relaxed structure of CrTe6W, with properties calculated at the GGA-PBE level. Values from VASP.

Output
Magnetization in μB/cell: 2.7
Theoretical density in g/cm³: 7.42
Total DFT energy (no corrections) in eV/atom: -5.1064
Formation energy without anion corrections in kJ/mol of atoms: 6.9

Geometry as Quantum ESPRESSO input:
```
&SYSTEM
  ibrav = 0, nat = 8, ntyp = 3
/
ATOMIC_SPECIES
Cr 52.00 Cr.upf
Te 127.60 Te.upf
W 183.84 W.upf
CELL_PARAMETERS angstrom
6.3611 0.0000 0.0000
3.1767 5.9282 0.0000
2.9161 1.2954 5.9408
ATOMIC_POSITIONS crystal
Cr 0.0000 0.0000 0.0000
Te 0.0439 0.7847 0.7095
Te 0.2913 0.5885 0.1869
Te 0.4033 0.1052 0.6988
Te 0.5967 0.8948 0.3012
Te 0.7087 0.4115 0.8131
Te 0.9561 0.2153 0.2905
W 0.5000 0.5000 0.5000
```



Entry 6:
Below is a relaxed structure of Tc2RuPt, with properties calculated at the GGA-PBE level. Values from VASP.

Output
Offset from the most stable computed form in meV per atom: 0
Magnetization in μB/cell: 0.0
Theoretical density in g/cm³: 14.08
Total DFT energy (no corrections) in eV/atom: -9.1650

Geometry as Quantum ESPRESSO input:
```
&SYSTEM
  ibrav = 0, nat = 4, ntyp = 3
/
ATOMIC_SPECIES
Tc 98.00 Tc.upf
Ru 101.07 Ru.upf
Pt 195.08 Pt.upf
CELL_PARAMETERS angstrom
2.7433 0.0000 0.0000
0.0000 4.3851 0.0000
0.0000 0.0000 4.8264
ATOMIC_POSITIONS crystal
Tc 0.0000 0.0000 0.0000
Tc 0.0000 0.5000 0.3184
Ru 0.5000 0.0000 0.4849
Pt 0.5000 0.5000 0.8207
```



Entry 7:
Below is a relaxed structure of MgC3, with properties calculated at the GGA-PBE level. Values from VASP.

Output
Offset from the most stable computed form in meV per atom: 2035
Magnetization in μB/cell: 0.0
Theoretical density in g/cm³: 2.81
Total DFT energy (no corrections) in eV/atom: -4.6173

Geometry as Quantum ESPRESSO input:
```
&SYSTEM
  ibrav = 0, nat = 4, ntyp = 2
/
ATOMIC_SPECIES
Mg 24.30 Mg.upf
C 12.01 C.upf
CELL_PARAMETERS angstrom
2.1243 -2.7456 0.0000
2.1243 2.7456 0.0000
0.0000 0.0000 3.0579
ATOMIC_POSITIONS crystal
Mg 0.0000 0.0000 0.0000
C 0.0000 0.5000 0.5000
C 0.5000 0.0000 0.5000
C 0.5000 0.5000 0.0000
```



Entry 8:
Below is a relaxed structure of Ac8SnPt3I4, with properties calculated at the GGA-PBE level. Values from VASP.

Output
Magnetization in μB/cell: 0.0
Theoretical density in g/cm³: 8.07
Total DFT energy (no corrections) in eV/atom: -4.9151
Formation energy without anion corrections in kJ/mol of atoms: -105.2

Geometry as Quantum ESPRESSO input:
```
&SYSTEM
  ibrav = 0, nat = 16, ntyp = 4
/
ATOMIC_SPECIES
Ac 227.00 Ac.upf
Sn 118.71 Sn.upf
Pt 195.08 Pt.upf
I 126.90 I.upf
CELL_PARAMETERS angstrom
4.5981 2.6547 8.5044
-4.5981 2.6547 8.5044
0.0000 -5.3094 8.5044
ATOMIC_POSITIONS crystal
Ac 0.2094 0.7409 0.7409
Ac 0.2295 0.2295 0.2295
Ac 0.2591 0.2591 0.7906
Ac 0.2591 0.7906 0.2591
Ac 0.7409 0.2094 0.7409
Ac 0.7409 0.7409 0.2094
Ac 0.7705 0.7705 0.7705
Ac 0.7906 0.2591 0.2591
Sn 0.5000 0.5000 0.5000
Pt 0.0000 0.0000 0.5000
Pt 0.0000 0.5000 0.0000
Pt 0.5000 0.0000 0.0000
I 0.0000 0.0000 0.0000
I 0.0000 0.5000 0.5000
I 0.5000 0.0000 0.5000
I 0.5000 0.5000 0.0000
```



Entry 9:
Below is a relaxed structure of DySc2I6, with properties calculated at the GGA-PBE level. Values from VASP.

Output
Magnetization in μB/cell: 0.0
Theoretical density in g/cm³: 4.87
Total DFT energy (no corrections) in eV/atom: -4.0884
Formation energy without anion corrections in kJ/mol of atoms: -109.7

Geometry as Quantum ESPRESSO input:
```
&SYSTEM
  ibrav = 0, nat = 9, ntyp = 3
/
ATOMIC_SPECIES
Dy 162.50 Dy.upf
Sc 44.96 Sc.upf
I 126.90 I.upf
CELL_PARAMETERS angstrom
8.4258 -2.0341 0.0000
8.4258 2.0341 0.0000
-4.9051 0.0000 10.0904
ATOMIC_POSITIONS crystal
Dy 0.0000 0.0000 0.0000
Sc 0.3225 0.3225 0.6487
Sc 0.6775 0.6775 0.3513
I 0.0334 0.0334 0.2898
I 0.3107 0.3107 0.3826
I 0.3513 0.3513 0.9390
I 0.6487 0.6487 0.0610
I 0.6893 0.6893 0.6174
I 0.9666 0.9666 0.7102
```



Entry 10:
Below is a relaxed structure of AgTe5Pb4, with properties calculated at the GGA-PBE level. Values from VASP.

Output
Magnetization in μB/cell: 0.0
Theoretical density in g/cm³: 7.87
Total DFT energy (no corrections) in eV/atom: -3.6089
Formation energy without anion corrections in kJ/mol of atoms: -26.0

Geometry as Quantum ESPRESSO input:
```
&SYSTEM
  ibrav = 0, nat = 10, ntyp = 3
/
ATOMIC_SPECIES
Ag 107.87 Ag.upf
Te 127.60 Te.upf
Pb 207.20 Pb.upf
CELL_PARAMETERS angstrom
-2.2827 2.2827 15.9354
2.2827 -2.2827 15.9354
2.2827 2.2827 -15.9354
ATOMIC_POSITIONS crystal
Ag 0.0000 0.0000 0.0000
Te 0.0925 0.0925 0.0000
Te 0.2988 0.2988 0.0000
Te 0.5000 0.5000 0.0000
Te 0.7012 0.7012 0.0000
Te 0.9075 0.9075 0.0000
Pb 0.1963 0.1963 0.0000
Pb 0.4016 0.4016 0.0000
Pb 0.5984 0.5984 0.0000
Pb 0.8037 0.8037 0.0000
```



Entry 11:
Below is a relaxed structure of CsSrTl3, with properties calculated at the GGA-PBE level. Values from VASP.

Output
Offset from the most stable computed form in meV per atom: 0
Magnetization in μB/cell: 0.0
Theoretical density in g/cm³: 5.23
Total DFT energy (no corrections) in eV/atom: -1.7218

Geometry as Quantum ESPRESSO input:
```
&SYSTEM
  ibrav = 0, nat = 5, ntyp = 3
/
ATOMIC_SPECIES
Cs 132.91 Cs.upf
Sr 87.62 Sr.upf
Tl 204.38 Tl.upf
CELL_PARAMETERS angstrom
6.4208 0.0000 0.0000
0.0000 6.4208 0.0000
0.0000 0.0000 6.4208
ATOMIC_POSITIONS crystal
Cs 0.0000 0.0000 0.0000
Sr 0.5000 0.5000 0.5000
Tl 0.0000 0.5000 0.5000
Tl 0.5000 0.0000 0.5000
Tl 0.5000 0.5000 0.0000
```



Entry 12:
Below is a relaxed structure of MgRhI2N, with properties calculated at the GGA-PBE level. Values from VASP.

Output
Offset from the most stable computed form in meV per atom: 617
Magnetization in μB/cell: 4.0
Theoretical density in g/cm³: 5.03
Total DFT energy (no corrections) in eV/atom: -3.2584
Formation energy without anion corrections in kJ/mol of atoms: 78.7

Geometry as Quantum ESPRESSO input:
```
&SYSTEM
  ibrav = 0, nat = 5, ntyp = 4
/
ATOMIC_SPECIES
Mg 24.30 Mg.upf
Rh 102.91 Rh.upf
I 126.90 I.upf
N 14.01 N.upf
CELL_PARAMETERS angstrom
5.7123 0.0000 0.0000
0.0000 5.7123 0.0000
0.0000 0.0000 3.9971
ATOMIC_POSITIONS crystal
Mg 0.0000 0.0000 0.0000
Rh 0.5000 0.5000 0.5000
I 0.0000 0.5000 0.0000
I 0.5000 0.0000 0.0000
N 0.0000 0.0000 0.5000
```